Record 1
The following is a meta-GGA SCAN calculation of a crystal of NiIrPt2 relaxed with PBEsol, from the Alexandria database.

```
NiIrPt2
1.0
-0.669 -0.026 2.591
4.405 -0.223 1.136
-1.664 4.664 -1.765
Ir Ni Pt
1 1 2
direct
0.514 0.514 0.028
0.245 0.745 0.491
0.986 0.986 0.972
0.755 0.255 0.509
```

calculated volume	55.40	Å³ per cell
DFT formation energy	0.0906	eV/atom
distance to the lowest polymorph of the same formula	183	meV/atom



Record 2
The following is a meta-GGA SCAN calculation of a crystal of In3AgOs relaxed with PBEsol, from the Alexandria database.

```
In3AgOs
1.0
5.084 0.000 0.000
0.000 5.084 0.000
0.000 0.000 5.084
In Ag Os
3 1 1
direct
0.000 0.500 0.000
0.000 0.000 0.500
0.500 0.000 0.000
0.500 0.500 0.500
0.000 0.000 0.000
```

calculated volume	131.39	Å³ per cell
DFT formation energy	0.3942	eV/atom



What did the first record say?
The following is a meta-GGA SCAN calculation of a crystal of NiIrPt2 relaxed with PBEsol, from the Alexandria database.

```
NiIrPt2
1.0
-0.669 -0.026 2.591
4.405 -0.223 1.136
-1.664 4.664 -1.765
Ir Ni Pt
1 1 2
direct
0.514 0.514 0.028
0.245 0.745 0.491
0.986 0.986 0.972
0.755 0.255 0.509
```

calculated volume	55.40	Å³ per cell
DFT formation energy	0.0906	eV/atom
distance to the lowest polymorph of the same formula	183	meV/atom



Repeat the second record exactly.
The following is a meta-GGA SCAN calculation of a crystal of In3AgOs relaxed with PBEsol, from the Alexandria database.

```
In3AgOs
1.0
5.084 0.000 0.000
0.000 5.084 0.000
0.000 0.000 5.084
In Ag Os
3 1 1
direct
0.000 0.500 0.000
0.000 0.000 0.500
0.500 0.000 0.000
0.500 0.500 0.500
0.000 0.000 0.000
```

calculated volume	131.39	Å³ per cell
DFT formation energy	0.3942	eV/atom



> Among the records above, which one has the highest calculated volume?

In3AgOs